This record from Alexandria via LeMat-Bulk describes Ce2PuRh after structural relaxation. The functional is PBE.

Lattice parameters (Å, degrees): 3.521 3.521 7.434 90.00 90.00 90.00
Fractional coordinates of all 4 atoms:
Ce (0.000, 0.000, 0.224)
Ce (0.000, 0.000, 0.776)
Pu (0.500, 0.500, 0.500)
Rh (0.500, 0.500, 0.000)

Values from the calculation:
The value obtained for the density of states at the Fermi level is 2.570 states/eV per atom. The value obtained for the formation enthalpy at 0 K is -270 meV per atom. The calculation puts the energy above the most stable polymorph in this dataset at 0 meV/atom.

This record from Alexandria via LeMat-Bulk describes CePu4Rh4 after structural relaxation. The functional is PBE.

Lattice parameters (Å, degrees): 8.764 8.764 4.933 90.00 90.00 90.00
Fractional coordinates of all 18 atoms:
Ce (0.250, 0.250, 0.250)
Ce (0.750, 0.750, 0.750)
Pu (0.094, 0.838, 0.631)
Pu (0.162, 0.594, 0.131)
Pu (0.338, 0.906, 0.131)
Pu (0.406, 0.662, 0.631)
Pu (0.594, 0.338, 0.369)
Pu (0.662, 0.094, 0.869)
Pu (0.838, 0.406, 0.869)
Pu (0.906, 0.162, 0.369)
Rh (0.057, 0.137, 0.849)
Rh (0.137, 0.443, 0.651)
Rh (0.363, 0.057, 0.651)
Rh (0.443, 0.363, 0.849)
Rh (0.557, 0.637, 0.151)
Rh (0.637, 0.943, 0.349)
Rh (0.863, 0.557, 0.349)
Rh (0.943, 0.863, 0.151)

Values from the calculation:
The value obtained for the density of states at the Fermi level is 3.428 states/eV per atom. The value obtained for the formation enthalpy at 0 K is -320 meV per atom.

This record from Alexandria via LeMat-Bulk describes Ce2Pu3Rh3 after structural relaxation. The functional is PBE.

Lattice parameters (Å, degrees): 3.386 5.404 18.245 90.00 90.00 90.00
Fractional coordinates of all 16 atoms:
Ce (0.000, 0.000, 0.247)
Ce (0.000, 0.000, 0.753)
Ce (0.500, 0.500, 0.253)
Ce (0.500, 0.500, 0.747)
Pu (0.000, 0.000, 0.500)
Pu (0.000, 0.500, 0.379)
Pu (0.000, 0.500, 0.621)
Pu (0.500, 0.000, 0.121)
Pu (0.500, 0.000, 0.879)
Pu (0.500, 0.500, 0.000)
Rh (0.000, 0.000, 0.000)
Rh (0.000, 0.500, 0.132)
Rh (0.000, 0.500, 0.868)
Rh (0.500, 0.000, 0.368)
Rh (0.500, 0.000, 0.632)
Rh (0.500, 0.500, 0.500)

Values from the calculation:
The value obtained for the density of states at the Fermi level is 3.119 states/eV per atom. The value obtained for the formation enthalpy at 0 K is -364 meV per atom.